First-principles (PBEsol) data for a relaxed IrPb2 crystal, as listed in Alexandria via LeMat-Bulk.

Calculated values
**Size of the total moment**: 0.0 μB per formula unit
**Final energy**: -15.2 eV/f.u.

Cell and atoms, written as CIF:
```
data_IrPb2
_chemical_formula_sum 'Ir1 Pb2'
_cell_length_a 5.0822
_cell_length_b 5.0822
_cell_length_c 3.0262
_cell_angle_alpha 90.00
_cell_angle_beta 90.00
_cell_angle_gamma 120.00
_space_group_name_H-M_alt 'P 6/m m m'
_space_group_IT_number 191
_space_group_name_Hall '-P 6 2'
loop_
_atom_site_label
_atom_site_fract_x
_atom_site_fract_y
_atom_site_fract_z
Ir1 0.0000 0.0000 0.0000
Pb1 0.3333 0.6667 0.5000
```



First-principles (PBEsol) data for a relaxed Gd2TeO2 crystal, as listed in Alexandria via LeMat-Bulk.

Calculated values
**Size of the total moment**: 14.0 μB per formula unit
**Formation energy from raw total energies**: -2.974 eV/atom

Cell and atoms, written as CIF:
```
data_Gd2TeO2
_chemical_formula_sum 'Gd4 Te2 O4'
_cell_length_a 3.924
_cell_length_b 3.924
_cell_length_c 12.446
_cell_angle_alpha 90.00
_cell_angle_beta 90.00
_cell_angle_gamma 90.00
_space_group_name_H-M_alt 'I 4/m m m'
_space_group_IT_number 139
_space_group_name_Hall '-I 4 2'
loop_
_atom_site_label
_atom_site_fract_x
_atom_site_fract_y
_atom_site_fract_z
Gd1 0.000 0.000 0.160
Te1 0.000 0.000 0.500
O1 0.000 0.500 0.250
```



First-principles (PBEsol) data for a relaxed Cr2ReOsCl crystal, as listed in Alexandria via LeMat-Bulk.

Calculated values
**Size of the total moment**: 0.6 μB per formula unit
**Formation energy from raw total energies**: 1.264 eV/atom

Cell and atoms, written as CIF:
```
data_Cr2ReOsCl
_chemical_formula_sum 'Cr2 Re1 Os1 Cl1'
_cell_length_a 4.017
_cell_length_b 4.017
_cell_length_c 4.295
_cell_angle_alpha 90.00
_cell_angle_beta 90.00
_cell_angle_gamma 90.00
_space_group_name_H-M_alt 'P 4/m m m'
_space_group_IT_number 123
_space_group_name_Hall '-P 4 2'
loop_
_atom_site_label
_atom_site_fract_x
_atom_site_fract_y
_atom_site_fract_z
Cr1 0.000 0.500 0.000
Re1 0.000 0.000 0.500
Os1 0.500 0.500 0.500
Cl1 0.000 0.000 0.000
```



First-principles (PBEsol) data for a relaxed LaAl2Ir2 crystal, as listed in Alexandria via LeMat-Bulk.

Calculated values
**Size of the total moment**: 0.0 μB per formula unit
**Final energy**: -37.1 eV/f.u.

Cell and atoms, written as CIF:
```
data_LaAl2Ir2
_chemical_formula_sum 'La2 Al4 Ir4'
_cell_length_a 4.294
_cell_length_b 4.294
_cell_length_c 10.074
_cell_angle_alpha 90.00
_cell_angle_beta 90.00
_cell_angle_gamma 90.00
_space_group_name_H-M_alt 'I 4/m m m'
_space_group_IT_number 139
_space_group_name_Hall '-I 4 2'
loop_
_atom_site_label
_atom_site_fract_x
_atom_site_fract_y
_atom_site_fract_z
La1 0.000 0.000 0.000
Al1 0.000 0.000 0.366
Ir1 0.000 0.500 0.250
```



First-principles (PBEsol) data for a relaxed TlCuPb2 crystal, as listed in Alexandria via LeMat-Bulk.

Calculated values
**Size of the total moment**: 0.0 μB per formula unit
**Final energy**: -14.3 eV/f.u.

Cell and atoms, written as CIF:
```
data_TlCuPb2
_chemical_formula_sum 'Tl1 Cu1 Pb2'
_cell_length_a 3.372
_cell_length_b 3.372
_cell_length_c 8.494
_cell_angle_alpha 90.00
_cell_angle_beta 90.00
_cell_angle_gamma 90.00
_space_group_name_H-M_alt 'P 4 m m'
_space_group_IT_number 99
loop_
_space_group_symop_operation_xyz
'x,y,z'
'-y,x,z'
'-x,-y,z'
'y,-x,z'
'-x,y,z'
'y,x,z'
'x,-y,z'
'-y,-x,z'
loop_
_atom_site_label
_atom_site_fract_x
_atom_site_fract_y
_atom_site_fract_z
Tl1 0.000 0.000 0.000
Cu1 0.500 0.500 0.198
Pb1 0.000 0.000 0.399
Pb2 0.500 0.500 0.706
```



First-principles (PBEsol) data for a relaxed CsRb3Tc crystal, as listed in Alexandria via LeMat-Bulk.

Calculated values
**Size of the total moment**: 3.6 μB per formula unit
**Final energy**: -6.9 eV/f.u.

Cell and atoms, written as CIF:
```
data_CsRb3Tc
_chemical_formula_sum 'Cs1 Rb3 Tc1'
_cell_length_a 7.820
_cell_length_b 7.820
_cell_length_c 7.820
_cell_angle_alpha 90.00
_cell_angle_beta 90.00
_cell_angle_gamma 90.00
_space_group_name_H-M_alt 'P m -3 m'
_space_group_IT_number 221
_space_group_name_Hall '-P 4 2 3'
loop_
_atom_site_label
_atom_site_fract_x
_atom_site_fract_y
_atom_site_fract_z
Cs1 0.000 0.000 0.000
Rb1 0.000 0.000 0.500
Tc1 0.500 0.500 0.500
```